[1]
# CsSb3Os GGA-PBE optimized geometry
data_CsSb3Os
_cell_length_a 5.374
_cell_length_b 5.374
_cell_length_c 5.374
_cell_angle_alpha 90.00
_cell_angle_beta 90.00
_cell_angle_gamma 90.00
_symmetry_space_group_name_H-M 'P m -3 m'
_symmetry_Int_Tables_number 221
_symmetry_space_group_name_Hall '-P 4 2 3'
loop_
_atom_site_label
_atom_site_type_symbol
_atom_site_fract_x
_atom_site_fract_y
_atom_site_fract_z
Cs1 Cs 0.000 0.000 0.000
Sb1 Sb 0.000 0.500 0.500
Os1 Os 0.500 0.500 0.500
# **Formation energy (no corrections)**: 0.456 eV/atom

[2]
# CsSb3Os GGA-PBE optimized geometry
data_CsSb3Os
_cell_length_a 6.047
_cell_length_b 6.047
_cell_length_c 6.047
_cell_angle_alpha 90.00
_cell_angle_beta 90.00
_cell_angle_gamma 90.00
_symmetry_space_group_name_H-M 'P m -3 m'
_symmetry_Int_Tables_number 221
_symmetry_space_group_name_Hall '-P 4 2 3'
loop_
_atom_site_label
_atom_site_type_symbol
_atom_site_fract_x
_atom_site_fract_y
_atom_site_fract_z
Cs1 Cs 0.000 0.000 0.000
Sb1 Sb 0.000 0.000 0.500
Os1 Os 0.500 0.500 0.500
# **Formation energy (no corrections)**: 2.759 eV/atom

[3]
# Cs2SbOsSe GGA-PBE optimized geometry
data_Cs2SbOsSe
_cell_length_a 6.996
_cell_length_b 6.996
_cell_length_c 5.372
_cell_angle_alpha 90.00
_cell_angle_beta 90.00
_cell_angle_gamma 90.00
_symmetry_space_group_name_H-M 'P 4/m m m'
_symmetry_Int_Tables_number 123
_symmetry_space_group_name_Hall '-P 4 2'
loop_
_atom_site_label
_atom_site_type_symbol
_atom_site_fract_x
_atom_site_fract_y
_atom_site_fract_z
Cs1 Cs 0.000 0.500 0.000
Sb1 Sb 0.000 0.000 0.500
Os1 Os 0.500 0.500 0.500
Se1 Se 0.000 0.000 0.000
# **Formation energy (no corrections)**: 0.983 eV/atom

[4]
# CsSb2TeOs GGA-PBE optimized geometry
data_CsSb2TeOs
_cell_length_a 5.144
_cell_length_b 5.144
_cell_length_c 6.204
_cell_angle_alpha 90.00
_cell_angle_beta 90.00
_cell_angle_gamma 90.00
_symmetry_space_group_name_H-M 'P 4/m m m'
_symmetry_Int_Tables_number 123
_symmetry_space_group_name_Hall '-P 4 2'
loop_
_atom_site_label
_atom_site_type_symbol
_atom_site_fract_x
_atom_site_fract_y
_atom_site_fract_z
Cs1 Cs 0.000 0.000 0.000
Sb1 Sb 0.000 0.500 0.500
Te1 Te 0.500 0.500 0.000
Os1 Os 0.500 0.500 0.500
# **Formation energy (no corrections)**: 0.279 eV/atom

[5]
# CsSbTe2Os GGA-PBE optimized geometry
data_CsSbTe2Os
_cell_length_a 5.672
_cell_length_b 5.672
_cell_length_c 5.087
_cell_angle_alpha 90.00
_cell_angle_beta 90.00
_cell_angle_gamma 90.00
_symmetry_space_group_name_H-M 'P 4/m m m'
_symmetry_Int_Tables_number 123
_symmetry_space_group_name_Hall '-P 4 2'
loop_
_atom_site_label
_atom_site_type_symbol
_atom_site_fract_x
_atom_site_fract_y
_atom_site_fract_z
Cs1 Cs 0.000 0.000 0.000
Sb1 Sb 0.500 0.500 0.000
Te1 Te 0.000 0.500 0.500
Os1 Os 0.500 0.500 0.500
# **Formation energy (no corrections)**: 0.242 eV/atom

[6]
# CsSbTe2Os GGA-PBE optimized geometry
data_CsSbTe2Os
_cell_length_a 6.434
_cell_length_b 6.434
_cell_length_c 6.298
_cell_angle_alpha 90.00
_cell_angle_beta 90.00
_cell_angle_gamma 90.00
_symmetry_space_group_name_H-M 'P 4/m m m'
_symmetry_Int_Tables_number 123
_symmetry_space_group_name_Hall '-P 4 2'
loop_
_atom_site_label
_atom_site_type_symbol
_atom_site_fract_x
_atom_site_fract_y
_atom_site_fract_z
Cs1 Cs 0.000 0.000 0.000
Sb1 Sb 0.000 0.000 0.500
Te1 Te 0.000 0.500 0.000
Os1 Os 0.500 0.500 0.500
# **Formation energy (no corrections)**: 2.462 eV/atom

[7]
# CsSb2TeOs GGA-PBE optimized geometry
data_CsSb2TeOs
_cell_length_a 6.189
_cell_length_b 6.189
_cell_length_c 6.132
_cell_angle_alpha 90.00
_cell_angle_beta 90.00
_cell_angle_gamma 90.00
_symmetry_space_group_name_H-M 'P 4/m m m'
_symmetry_Int_Tables_number 123
_symmetry_space_group_name_Hall '-P 4 2'
loop_
_atom_site_label
_atom_site_type_symbol
_atom_site_fract_x
_atom_site_fract_y
_atom_site_fract_z
Cs1 Cs 0.000 0.000 0.000
Sb1 Sb 0.000 0.500 0.000
Te1 Te 0.000 0.000 0.500
Os1 Os 0.500 0.500 0.500
# **Formation energy (no corrections)**: 2.609 eV/atom

[8]
# Cs2SbOsW GGA-PBE optimized geometry
data_Cs2SbOsW
_cell_length_a 7.401
_cell_length_b 7.401
_cell_length_c 5.213
_cell_angle_alpha 90.00
_cell_angle_beta 90.00
_cell_angle_gamma 90.00
_symmetry_space_group_name_H-M 'P 4/m m m'
_symmetry_Int_Tables_number 123
_symmetry_space_group_name_Hall '-P 4 2'
loop_
_atom_site_label
_atom_site_type_symbol
_atom_site_fract_x
_atom_site_fract_y
_atom_site_fract_z
Cs1 Cs 0.000 0.500 0.000
Sb1 Sb 0.000 0.000 0.000
Os1 Os 0.500 0.500 0.500
W1 W 0.000 0.000 0.500
# **Formation energy (no corrections)**: 2.081 eV/atom

[9]
# Cs2ScOs GGA-PBE optimized geometry
data_Cs2ScOs
_cell_length_a 7.747
_cell_length_b 7.747
_cell_length_c 7.747
_cell_angle_alpha 90.00
_cell_angle_beta 90.00
_cell_angle_gamma 90.00
_symmetry_space_group_name_H-M 'F m -3 m'
_symmetry_Int_Tables_number 225
_symmetry_space_group_name_Hall '-F 4 2 3'
loop_
_atom_site_label
_atom_site_type_symbol
_atom_site_fract_x
_atom_site_fract_y
_atom_site_fract_z
Cs1 Cs 0.250 0.250 0.250
Sc1 Sc 0.000 0.000 0.000
Os1 Os 0.000 0.000 0.500
# **Energy of formation**: 42.6 kcal/mol of atoms

[10]
# CsScOs2 GGA-PBE optimized geometry
data_CsScOs2
_cell_length_a 6.820
_cell_length_b 6.820
_cell_length_c 6.820
_cell_angle_alpha 90.00
_cell_angle_beta 90.00
_cell_angle_gamma 90.00
_symmetry_space_group_name_H-M 'F m -3 m'
_symmetry_Int_Tables_number 225
_symmetry_space_group_name_Hall '-F 4 2 3'
loop_
_atom_site_label
_atom_site_type_symbol
_atom_site_fract_x
_atom_site_fract_y
_atom_site_fract_z
Cs1 Cs 0.000 0.000 0.000
Sc1 Sc 0.000 0.000 0.500
Os1 Os 0.250 0.250 0.250
# **Energy of formation**: 36.6 kcal/mol of atoms

[11]
# CsYSc2Os GGA-PBE optimized geometry
data_CsYSc2Os
_cell_length_a 5.271
_cell_length_b 5.271
_cell_length_c 5.603
_cell_angle_alpha 90.00
_cell_angle_beta 90.00
_cell_angle_gamma 90.00
_symmetry_space_group_name_H-M 'P 4/m m m'
_symmetry_Int_Tables_number 123
_symmetry_space_group_name_Hall '-P 4 2'
loop_
_atom_site_label
_atom_site_type_symbol
_atom_site_fract_x
_atom_site_fract_y
_atom_site_fract_z
Cs1 Cs 0.000 0.000 0.000
Y1 Y 0.500 0.500 0.000
Sc1 Sc 0.000 0.500 0.500
Os1 Os 0.500 0.500 0.500
# **Energy of formation**: 5.1 kcal/mol of atoms

[12]
# Cs2OsSe2 GGA-PBE optimized geometry
data_Cs2OsSe2
_cell_length_a 6.910
_cell_length_b 6.910
_cell_length_c 6.051
_cell_angle_alpha 90.00
_cell_angle_beta 90.00
_cell_angle_gamma 90.00
_symmetry_space_group_name_H-M 'P 4/m b m'
_symmetry_Int_Tables_number 127
_symmetry_space_group_name_Hall '-P 4 2ab'
loop_
_atom_site_label
_atom_site_type_symbol
_atom_site_fract_x
_atom_site_fract_y
_atom_site_fract_z
Cs1 Cs 0.174 0.326 0.000
Os1 Os 0.000 0.000 0.500
Se1 Se 0.172 0.672 0.500
# **Formation energy (no corrections)**: -0.024 eV/atom